No. 1
Here is an optimized crystal structure of P2OsSe from Alexandria via LeMat-Bulk. Energies are from GGA-PBE.

Calculated values
Magnetic moment = 0.00 μB per cell
Electronic total energy = -24.7 eV/cell
N(E_F) = 1.33 states/eV/cell

Cell: 3.5424 4.4699 5.8316 Å, 99.11 99.43 90.93°
Atoms (fractional coordinates):
P: 0.2943 0.6023 0.9372
P: 0.8777 0.1876 0.2700
Os: 0.8572 0.6650 0.1745
Se: 0.9053 0.9881 0.5945



No. 2
Here is an optimized crystal structure of DyUP2 from Alexandria via LeMat-Bulk. Energies are from GGA-PBE.

Calculated values
Magnetic moment = 4.36 μB per cell
Excess energy over the best structure of this formula in the dataset = 13 meV per atom
N(E_F) = 13.59 states/eV/cell

Cell: 5.6001 5.6001 6.8668 Å, 114.06 114.06 90.00°
Last column: magnetic moment on the atom in μB.
Atoms (fractional coordinates):
Dy: 0.5000 0.5000 0.0000  0.03
Dy: 0.2500 0.7500 0.5000  0.03
U: 0.7500 0.2500 0.5000  1.98
U: 0.0000 0.0000 0.0000  1.98
P: 0.7535 0.7535 0.5069  -0.06
P: 0.5035 0.0035 0.0069  -0.06
P: 0.2465 0.2465 0.4931  -0.06
P: 0.9965 0.4965 0.9931  -0.06



No. 3
Here is an optimized crystal structure of CaCo2Au2 from Alexandria via LeMat-Bulk. Energies are from GGA-PBE.

Calculated values
Magnetic moment = 6.16 μB per cell
Excess energy over the best structure of this formula in the dataset = 32 meV per atom
N(E_F) = 10.61 states/eV/cell

Cell: 7.4916 7.4916 3.0422 Å, 90.00 90.00 90.00°
Last column: magnetic moment on the atom in μB.
Atoms (fractional coordinates):
Co: 0.3929 0.8929 0.0000  1.64
Co: 0.8929 0.6071 0.0000  1.66
Co: 0.6071 0.1071 0.0000  1.64
Co: 0.1071 0.3929 0.0000  1.66
Ca: 0.0000 0.0000 0.0000  -0.06
Ca: 0.5000 0.5000 0.0000  -0.06
Au: 0.1857 0.6857 0.5000  0.01
Au: 0.6857 0.8143 0.5000  0.00
Au: 0.8143 0.3143 0.5000  0.01
Au: 0.3143 0.1857 0.5000  0.00



No. 4
Here is an optimized crystal structure of Dy6ZnRh5 from Alexandria via LeMat-Bulk. Energies are from GGA-PBE.

Calculated values
Magnetic moment = 0.00 μB per cell
Electronic total energy = -75.1 eV/cell
N(E_F) = 6.69 states/eV/cell

Cell: 4.8670 8.4565 8.4565 Å, 120.24 106.67 106.67°
Atoms (fractional coordinates):
Zn: 0.0000 0.0000 0.0000
Rh: 0.5000 0.1656 0.8344
Rh: 0.0000 0.3331 0.6669
Rh: 0.5000 0.5000 0.5000
Rh: 0.0000 0.6669 0.3331
Rh: 0.5000 0.8344 0.1656
Dy: 0.2528 0.0838 0.4222
Dy: 0.7472 0.5778 0.9162
Dy: 0.7568 0.2572 0.2572
Dy: 0.2432 0.7428 0.7428
Dy: 0.2528 0.4222 0.0838
Dy: 0.7472 0.9162 0.5778



Q: Which formula does entry 1 have?
A: P2OsSe



Q: What is the N(E_F) in the second record?
A: 13.59 states/eV/cell



Q: Number 4 is which compound?
A: Dy6ZnRh5